# SmBeCoSi2

Crystalline SmBeCoSi2 at its relaxed geometry (PBE, the Alexandria database).

Unit cell a=3.904 b=3.904 c=9.889 alpha=90.00 beta=90.00 gamma=90.00
Fractional coordinates of all 10 atoms:
Sm 0.000 0.000 0.000
Sm 0.500 0.500 0.500
Be 0.000 0.500 0.250
Be 0.500 0.000 0.750
Co 0.000 0.500 0.750
Co 0.500 0.000 0.250
Si 0.000 0.000 0.373
Si 0.000 0.000 0.627
Si 0.500 0.500 0.127
Si 0.500 0.500 0.873

Electronic total energy   -5.8908 eV per atom
Raw formation energy   -0.611 eV/atom
Total magnetic moment   0.013 μB/atom
Density of states at the Fermi level   7.501 states/eV/cell
Symmetry   No. 119

# Al2CrCd

Crystalline Al2CrCd at its relaxed geometry (PBE, the Alexandria database).

Unit cell a=9.764 b=3.123 c=4.530 alpha=90.00 beta=109.77 gamma=90.00
Fractional coordinates of all 8 atoms:
Al 0.000 0.000 0.000
Al 0.243 0.000 0.666
Al 0.500 0.500 0.000
Al 0.743 0.500 0.666
Cr 0.229 0.500 0.132
Cr 0.729 0.000 0.132
Cd 0.481 0.000 0.475
Cd 0.981 0.500 0.475

Electronic total energy   -4.3430 eV per atom
Total magnetic moment   0.459 μB/atom
Density of states at the Fermi level   3.360 states/eV/cell
Symmetry   No. 8

# YSc3

Crystalline YSc3 at its relaxed geometry (PBE, the Alexandria database).

Unit cell a=3.363 b=4.657 c=6.724 alpha=90.00 beta=90.00 gamma=90.00
Fractional coordinates of all 4 atoms:
Y 0.000 0.000 0.000
Sc 0.000 0.000 0.500
Sc 0.500 0.500 0.260
Sc 0.500 0.500 0.740

Electronic total energy   -6.3004 eV per atom
Excess energy over the best structure of this formula in the dataset   46 meV/atom
Total magnetic moment   0.000 μB/atom
Density of states at the Fermi level   7.425 states/eV/cell
Symmetry   No. 47

# Sc2ReRu

Crystalline Sc2ReRu at its relaxed geometry (PBE, the Alexandria database).

Unit cell a=2.934 b=4.491 c=5.354 alpha=90.00 beta=103.76 gamma=90.00
Fractional coordinates of all 4 atoms:
Sc 0.000 0.000 0.000
Sc 0.262 0.500 0.719
Re 0.724 0.500 0.245
Ru 0.513 0.000 0.472

Electronic total energy   -8.6748 eV per atom
Total magnetic moment   0.000 μB/atom
Density of states at the Fermi level   3.989 states/eV/cell
Symmetry   No. 6

# Ir2I4Br

Crystalline Ir2I4Br at its relaxed geometry (PBE, the Alexandria database).

Unit cell a=5.716 b=5.716 c=17.147 alpha=90.00 beta=90.00 gamma=90.00
Fractional coordinates of all 14 atoms:
Ir 0.000 0.000 0.068
Ir 0.000 0.000 0.932
Ir 0.500 0.500 0.432
Ir 0.500 0.500 0.568
I 0.000 0.000 0.218
I 0.000 0.000 0.782
I 0.000 0.500 0.000
I 0.000 0.500 0.500
I 0.500 0.000 0.000
I 0.500 0.000 0.500
I 0.500 0.500 0.282
I 0.500 0.500 0.718
Br 0.000 0.000 0.500
Br 0.500 0.500 0.000

Electronic total energy   -2.9415 eV per atom
Raw formation energy   0.715 eV/atom
Total magnetic moment   0.233 μB/atom
Density of states at the Fermi level   15.070 states/eV/cell
Symmetry   No. 139

# MgW2Cl

Crystalline MgW2Cl at its relaxed geometry (PBE, the Alexandria database).

Unit cell a=2.962 b=4.514 c=5.326 alpha=90.00 beta=90.00 gamma=90.00
Fractional coordinates of all 4 atoms:
Mg 0.000 0.000 0.000
W 0.000 0.500 0.500
W 0.500 0.000 0.500
Cl 0.500 0.500 0.000

Electronic total energy   -6.6205 eV per atom
Raw formation energy   0.716 eV/atom
Excess energy over the best structure of this formula in the dataset   572 meV/atom
Total magnetic moment   0.000 μB/atom
Density of states at the Fermi level   3.981 states/eV/cell
Symmetry   No. 47

# BaAgTe2

Crystalline BaAgTe2 at its relaxed geometry (PBE, the Alexandria database).

Unit cell a=8.164 b=4.947 c=7.241 alpha=90.00 beta=108.54 gamma=90.00
Fractional coordinates of all 8 atoms:
Ba 0.000 0.000 0.000
Ba 0.500 0.500 0.000
Ag 0.000 0.500 0.500
Ag 0.500 0.000 0.500
Te 0.250 0.000 0.700
Te 0.250 0.500 0.300
Te 0.750 0.000 0.300
Te 0.750 0.500 0.700

Electronic total energy   -3.4505 eV per atom
Raw formation energy   -0.686 eV/atom
Total magnetic moment   0.000 μB/atom
Density of states at the Fermi level   11.354 states/eV/cell
Symmetry   No. 12

# As2IrCl

Crystalline As2IrCl at its relaxed geometry (PBE, the Alexandria database).

Unit cell a=3.274 b=3.735 c=14.891 alpha=90.00 beta=90.00 gamma=90.00
Fractional coordinates of all 8 atoms:
As 0.000 0.000 0.000
As 0.000 0.500 0.176
As 0.500 0.000 0.676
As 0.500 0.500 0.500
Ir 0.000 0.000 0.553
Ir 0.500 0.500 0.053
Cl 0.000 0.500 0.773
Cl 0.500 0.000 0.273

Electronic total energy   -4.9386 eV per atom
Raw formation energy   0.063 eV/atom
Excess energy over the best structure of this formula in the dataset   310 meV/atom
Total magnetic moment   0.000 μB/atom
Density of states at the Fermi level   4.155 states/eV/cell
Symmetry   No. 44

# K6PbAu2

Crystalline K6PbAu2 at its relaxed geometry (PBE, the Alexandria database).

Unit cell a=10.011 b=10.011 c=10.011 alpha=114.31 beta=113.05 gamma=101.35
Fractional coordinates of all 18 atoms:
K 0.026 0.850 0.176
K 0.253 0.568 0.315
K 0.253 0.937 0.685
K 0.295 0.319 0.614
K 0.295 0.681 0.977
K 0.326 0.150 0.176
K 0.674 0.850 0.824
K 0.705 0.319 0.023
K 0.705 0.681 0.386
K 0.747 0.063 0.315
K 0.747 0.432 0.685
K 0.974 0.150 0.824
Pb 0.000 0.500 0.500
Pb 0.500 0.000 0.500
Au 0.000 0.222 0.222
Au 0.000 0.778 0.778
Au 0.378 0.378 0.000
Au 0.622 0.622 0.000

Electronic total energy   -2.0684 eV per atom
Total magnetic moment   0.000 μB/atom
Density of states at the Fermi level   8.218 states/eV/cell
Symmetry   No. 71

# Cs2RbHgF

Crystalline Cs2RbHgF at its relaxed geometry (PBE, the Alexandria database).

Unit cell a=6.131 b=6.131 c=5.811 alpha=90.00 beta=90.00 gamma=90.00
Fractional coordinates of all 5 atoms:
Cs 0.000 0.500 0.000
Cs 0.500 0.000 0.000
Rb 0.000 0.000 0.500
Hg 0.500 0.500 0.500
F 0.000 0.000 0.000

Electronic total energy   -2.0691 eV per atom
Raw formation energy   -1.100 eV/atom
Excess energy over the best structure of this formula in the dataset   0 meV/atom
Total magnetic moment   0.000 μB/atom
Density of states at the Fermi level   2.944 states/eV/cell
Symmetry   No. 123

> What is the formula in the first record?

SmBeCoSi2